Record 1
Here is a relaxed structure of NbHg4Pd5 from the Alexandria database. Energies are from PBE.

Cell: 3.002 3.002 19.703 Å, 90.00 90.00 90.00°
Sites, in units of the cell vectors:
Hg 0.000 0.000 0.199
Hg 0.000 0.000 0.600
Hg 0.000 0.000 0.400
Hg 0.000 0.000 0.801
Pd 0.500 0.500 0.500
Pd 0.500 0.500 0.905
Pd 0.500 0.500 0.300
Pd 0.500 0.500 0.700
Pd 0.500 0.500 0.095
Nb 0.000 0.000 0.000

Output
space-group type = No. 123
theoretical density = 13.35 Mg/m³
D(E_F) = 4.052 states/eV per cell
size of the total moment = 0.0 Bohr magnetons per cell
formation enthalpy at 0 K = -185 meV/atom
crystal system = tetragonal
total energy = -3.910 eV/atom



Record 2
Here is a relaxed structure of NbHgPd5 from the Alexandria database. Energies are from PBE.

Cell: 4.011 4.011 7.644 Å, 90.00 90.00 90.00°
Sites, in units of the cell vectors:
Pd 0.500 0.000 0.223
Pd 0.500 0.500 0.500
Pd 0.000 0.500 0.777
Pd 0.000 0.500 0.223
Pd 0.500 0.000 0.777
Hg 0.000 0.000 0.500
Nb 0.500 0.500 0.000

Output
space-group type = No. 123
theoretical density = 11.15 Mg/m³
D(E_F) = 3.347 states/eV per cell
size of the total moment = 0.0 Bohr magnetons per cell
formation enthalpy at 0 K = -76 meV/atom
crystal system = tetragonal
total energy = -5.267 eV/atom



Record 3
Here is a relaxed structure of Nb3HgPd from the Alexandria database. Energies are from PBE.

Cell: 4.866 4.866 4.866 Å, 90.00 90.00 90.00°
Sites, in units of the cell vectors:
Hg 0.500 0.500 0.500
Nb 0.000 0.500 0.000
Nb 0.500 0.000 0.000
Nb 0.000 0.000 0.500
Pd 0.000 0.000 0.000

Output
space-group type = No. 221
theoretical density = 8.44 Mg/m³
D(E_F) = 10.144 states/eV per cell
distance to the lowest polymorph of the same formula = 0.0 meV per atom
size of the total moment = 0.0 Bohr magnetons per cell
formation enthalpy at 0 K = 1189 meV/atom
crystal system = cubic
total energy = -5.952 eV/atom



Record 4
Here is a relaxed structure of NbHg2Pd8 from the Alexandria database. Energies are from PBE.

Cell: 4.045 6.359 7.586 Å, 104.81 105.46 90.00°
Sites, in units of the cell vectors:
Hg 0.222 0.644 0.444
Hg 0.778 0.356 0.556
Pd 0.042 0.730 0.084
Pd 0.870 0.830 0.740
Pd 0.130 0.170 0.260
Pd 0.413 0.558 0.827
Pd 0.587 0.442 0.173
Pd 0.958 0.270 0.916
Pd 0.677 0.914 0.354
Pd 0.323 0.086 0.646
Nb 0.500 0.000 0.000

Output
space-group type = No. 12
theoretical density = 12.32 Mg/m³
D(E_F) = 6.110 states/eV per cell
size of the total moment = 0.0 Bohr magnetons per cell
formation enthalpy at 0 K = -242 meV/atom
crystal system = monoclinic
total energy = -4.989 eV/atom



Record 5
Here is a relaxed structure of NbHgPd14 from the Alexandria database. Energies are from PBE.

Cell: 5.718 5.718 7.739 Å, 90.00 90.00 90.00°
Sites, in units of the cell vectors:
Pd 0.119 0.631 0.748
Pd 0.631 0.119 0.252
Pd 0.119 0.119 0.252
Pd 0.375 0.875 0.000
Pd 0.631 0.119 0.748
Pd 0.875 0.875 0.000
Pd 0.875 0.375 0.500
Pd 0.375 0.875 0.500
Pd 0.119 0.631 0.252
Pd 0.631 0.631 0.252
Pd 0.119 0.119 0.748
Pd 0.631 0.631 0.748
Pd 0.875 0.375 0.000
Pd 0.375 0.375 0.000
Nb 0.875 0.875 0.500
Hg 0.375 0.375 0.500

Output
space-group type = No. 123
theoretical density = 11.70 Mg/m³
D(E_F) = 21.585 states/eV per cell
size of the total moment = 0.0 Bohr magnetons per cell
formation enthalpy at 0 K = -146 meV/atom
crystal system = tetragonal
total energy = -5.338 eV/atom



Record 6
Here is a relaxed structure of NbHg2Pd from the Alexandria database. Energies are from PBE.

Cell: 4.727 4.727 4.727 Å, 60.00 60.00 60.00°
Sites, in units of the cell vectors:
Hg 0.250 0.250 0.250
Hg 0.750 0.750 0.750
Nb 0.000 0.000 0.000
Pd 0.500 0.500 0.500

Output
space-group type = No. 225
theoretical density = 13.35 Mg/m³
D(E_F) = 5.079 states/eV per cell
distance to the lowest polymorph of the same formula = 0.0 meV per atom
size of the total moment = 0.0 Bohr magnetons per cell
formation enthalpy at 0 K = 188 meV/atom
crystal system = cubic
total energy = -3.779 eV/atom



Record 7
Here is a relaxed structure of Nb2HgPd2 from the Alexandria database. Energies are from PBE.

Cell: 7.846 7.846 2.913 Å, 90.00 90.00 90.00°
Sites, in units of the cell vectors:
Pd 0.876 0.624 0.000
Pd 0.376 0.876 0.000
Pd 0.624 0.124 0.000
Pd 0.124 0.376 0.000
Hg 0.000 0.000 0.000
Hg 0.500 0.500 0.000
Nb 0.171 0.671 0.500
Nb 0.671 0.829 0.500
Nb 0.829 0.329 0.500
Nb 0.329 0.171 0.500

Output
space-group type = No. 127
theoretical density = 11.10 Mg/m³
D(E_F) = 5.996 states/eV per cell
distance to the lowest polymorph of the same formula = 0.0 meV per atom
size of the total moment = 0.0 Bohr magnetons per cell
formation enthalpy at 0 K = -87 meV/atom
crystal system = tetragonal
total energy = -6.252 eV/atom



Record 8
Here is a relaxed structure of NbHg2Pd from the Alexandria database. Energies are from PBE.

Cell: 7.616 7.616 6.098 Å, 51.36 51.36 90.00°
Sites, in units of the cell vectors:
Hg 0.375 0.366 0.750
Hg 0.634 0.125 0.250
Hg 0.875 0.884 0.750
Hg 0.116 0.625 0.250
Pd 0.750 0.250 0.500
Pd 0.000 0.000 0.000
Nb 0.250 0.750 0.500
Nb 0.500 0.500 0.000

Output
space-group type = No. 122
theoretical density = 12.02 Mg/m³
D(E_F) = 9.635 states/eV per cell
distance to the lowest polymorph of the same formula = 295.7 meV per atom
size of the total moment = 0.0 Bohr magnetons per cell
formation enthalpy at 0 K = 483 meV/atom
crystal system = tetragonal
total energy = -3.483 eV/atom